BaThNb2O8 | PBE-GGA | relaxed

Cell lengths 6.126, 6.126, 7.672 Å; angles 90.00, 90.00, 120.00 degrees
Atoms (fractional coordinates):
Ba  0.000  0.000  0.000
Th  0.000  0.000  0.500
Nb  0.333  0.667  0.775
Nb  0.667  0.333  0.225
O  0.162  0.325  0.700
O  0.162  0.838  0.700
O  0.325  0.162  0.300
O  0.333  0.667  0.010
O  0.667  0.333  0.990
O  0.675  0.838  0.700
O  0.838  0.162  0.300
O  0.838  0.675  0.300

Summary:
The space group is No. 164. As for the energy relative to the elements, uncorrected: -35.32 eV per formula unit. As for the calculated density: 4.55 Mg/m³.

***

Ba2ThNb3O12 | PBE-GGA | relaxed

Cell lengths 7.146, 7.146, 7.146 Å; angles 64.86, 64.86, 64.86 degrees
Atoms (fractional coordinates):
Ba  0.123  0.123  0.123
Ba  0.877  0.877  0.877
Th  0.500  0.500  0.500
Nb  0.000  0.500  0.500
Nb  0.500  0.000  0.500
Nb  0.500  0.500  0.000
O  0.108  0.624  0.624
O  0.221  0.221  0.591
O  0.221  0.591  0.221
O  0.376  0.376  0.892
O  0.376  0.892  0.376
O  0.409  0.779  0.779
O  0.591  0.221  0.221
O  0.624  0.108  0.624
O  0.624  0.624  0.108
O  0.779  0.409  0.779
O  0.779  0.779  0.409
O  0.892  0.376  0.376

Summary:
The space group is No. 166. As for the energy relative to the elements, uncorrected: -48.77 eV per formula unit. As for the calculated density: 5.69 Mg/m³.

***

Ba2ThNbO6 | PBE-GGA | relaxed

Cell lengths 4.403, 4.403, 8.800 Å; angles 90.00, 90.00, 90.00 degrees
Atoms (fractional coordinates):
Ba  0.000  0.000  0.222
Ba  0.000  0.000  0.778
Th  0.500  0.500  0.500
Nb  0.500  0.500  0.000
O  0.000  0.500  0.000
O  0.000  0.500  0.500
O  0.500  0.000  0.000
O  0.500  0.000  0.500
O  0.500  0.500  0.228
O  0.500  0.500  0.772

Summary:
The space group is No. 123. As for the energy relative to the elements, uncorrected: -29.37 eV per formula unit. As for the calculated density: 6.77 Mg/m³.

***

Ba7Ti2Nb4O21 | PBE-GGA | relaxed

Cell lengths 17.101, 17.101, 17.101 Å; angles 19.69, 19.69, 19.69 degrees
Atoms (fractional coordinates):
Ba  0.000  0.000  0.000
Ba  0.150  0.150  0.150
Ba  0.236  0.236  0.236
Ba  0.382  0.382  0.382
Ba  0.618  0.618  0.618
Ba  0.764  0.764  0.764
Ba  0.850  0.850  0.850
Ti  0.075  0.075  0.075
Ti  0.925  0.925  0.925
Nb  0.308  0.308  0.308
Nb  0.456  0.456  0.456
Nb  0.544  0.544  0.544
Nb  0.692  0.692  0.692
O  0.000  0.500  0.500
O  0.122  0.122  0.616
O  0.122  0.616  0.122
O  0.145  0.637  0.637
O  0.232  0.745  0.745
O  0.255  0.255  0.768
O  0.255  0.768  0.255
O  0.363  0.363  0.855
O  0.363  0.855  0.363
O  0.384  0.878  0.878
O  0.500  0.000  0.500
O  0.500  0.500  0.000
O  0.616  0.122  0.122
O  0.637  0.145  0.637
O  0.637  0.637  0.145
O  0.745  0.232  0.745
O  0.745  0.745  0.232
O  0.768  0.255  0.255
O  0.855  0.363  0.363
O  0.878  0.384  0.878
O  0.878  0.878  0.384

Summary:
The space group is No. 166. As for the energy relative to the elements, uncorrected: -98.85 eV per formula unit. As for the calculated density: 5.90 Mg/m³.

***

BaTiNbO6 | PBE-GGA | relaxed

Cell lengths 5.382, 5.382, 5.627 Å; angles 90.00, 90.00, 120.00 degrees
Atoms (fractional coordinates):
Ba  0.000  0.000  0.000
Ti  0.333  0.667  0.500
Nb  0.667  0.333  0.500
O  0.005  0.403  0.699
O  0.005  0.602  0.301
O  0.398  0.403  0.301
O  0.398  0.995  0.699
O  0.597  0.602  0.699
O  0.597  0.995  0.301

Summary:
The space group is No. 149. As for the energy relative to the elements, uncorrected: -23.63 eV per formula unit. As for the calculated density: 4.40 Mg/m³.

***

Ba2Ti3Nb4O18 | PBE-GGA | relaxed

Cell lengths 10.170, 10.094, 7.527 Å; angles 90.00, 111.61, 90.00 degrees
Atoms (fractional coordinates):
Ba  0.203  0.086  0.140
Ba  0.203  0.414  0.640
Ba  0.797  0.586  0.360
Ba  0.797  0.914  0.860
Ti  0.000  0.000  0.500
Ti  0.000  0.500  0.000
Ti  0.375  0.014  0.787
Ti  0.375  0.486  0.287
Ti  0.625  0.514  0.713
Ti  0.625  0.986  0.213
Nb  0.102  0.745  0.256
Nb  0.102  0.755  0.756
Nb  0.486  0.726  0.997
Nb  0.486  0.774  0.497
Nb  0.514  0.226  0.503
Nb  0.514  0.274  0.003
Nb  0.898  0.245  0.244
Nb  0.898  0.255  0.744
O  0.018  0.590  0.775
O  0.018  0.910  0.275
O  0.069  0.161  0.424
O  0.069  0.339  0.924
O  0.096  0.664  0.475
O  0.096  0.836  0.975
O  0.192  0.566  0.171
O  0.192  0.934  0.671
O  0.298  0.678  0.838
O  0.298  0.822  0.338
O  0.323  0.170  0.867
O  0.323  0.330  0.367
O  0.408  0.092  0.571
O  0.408  0.408  0.071
O  0.418  0.584  0.529
O  0.418  0.916  0.029
O  0.493  0.658  0.239
O  0.493  0.842  0.739
O  0.507  0.158  0.261
O  0.507  0.342  0.761
O  0.582  0.084  0.971
O  0.582  0.416  0.471
O  0.592  0.592  0.929
O  0.592  0.908  0.429
O  0.677  0.670  0.633
O  0.677  0.830  0.133
O  0.702  0.178  0.662
O  0.702  0.322  0.162
O  0.808  0.066  0.329
O  0.808  0.434  0.829
O  0.904  0.164  0.025
O  0.904  0.336  0.525
O  0.931  0.661  0.076
O  0.931  0.839  0.576
O  0.982  0.090  0.725
O  0.982  0.410  0.225

Summary:
The space group is No. 14. As for the energy relative to the elements, uncorrected: -76.79 eV per formula unit. As for the calculated density: 4.98 Mg/m³.

***

Ba4TiNb3O12 | PBE-GGA | relaxed

Cell lengths 7.146, 7.146, 7.146 Å; angles 109.47, 109.47, 109.47 degrees
Atoms (fractional coordinates):
Ba  0.000  0.000  0.500
Ba  0.000  0.500  0.000
Ba  0.500  0.000  0.000
Ba  0.500  0.500  0.500
Ti  0.000  0.000  0.000
Nb  0.000  0.500  0.500
Nb  0.500  0.000  0.500
Nb  0.500  0.500  0.000
O  0.000  0.249  0.249
O  0.000  0.751  0.751
O  0.249  0.000  0.249
O  0.249  0.249  0.000
O  0.250  0.500  0.750
O  0.250  0.750  0.500
O  0.500  0.250  0.750
O  0.500  0.750  0.250
O  0.750  0.250  0.500
O  0.750  0.500  0.250
O  0.751  0.000  0.751
O  0.751  0.751  0.000

Summary:
The space group is No. 229. As for the energy relative to the elements, uncorrected: -56.96 eV per formula unit. As for the calculated density: 6.31 Mg/m³.

***

Ba3TiNb2O9 | PBE-GGA | relaxed

Cell lengths 5.820, 5.820, 7.130 Å; angles 90.00, 90.00, 120.00 degrees
Atoms (fractional coordinates):
Ba  0.000  0.000  0.000
Ba  0.333  0.667  0.664
Ba  0.667  0.333  0.336
Ti  0.000  0.000  0.500
Nb  0.333  0.667  0.172
Nb  0.667  0.333  0.828
O  0.000  0.500  0.000
O  0.165  0.331  0.335
O  0.165  0.835  0.335
O  0.331  0.165  0.665
O  0.500  0.000  0.000
O  0.500  0.500  0.000
O  0.669  0.835  0.335
O  0.835  0.165  0.665
O  0.835  0.669  0.665

Summary:
The space group is No. 164. As for the energy relative to the elements, uncorrected: -43.14 eV per formula unit. As for the calculated density: 6.27 Mg/m³.

***

Ba2Ti3NbO12 | PBE-GGA | relaxed

Cell lengths 7.291, 7.291, 7.291 Å; angles 58.66, 58.66, 58.66 degrees
Atoms (fractional coordinates):
Ba  0.116  0.116  0.116
Ba  0.884  0.884  0.884
Ti  0.000  0.500  0.500
Ti  0.500  0.000  0.500
Ti  0.500  0.500  0.000
Nb  0.500  0.500  0.500
O  0.169  0.575  0.575
O  0.174  0.174  0.581
O  0.174  0.581  0.174
O  0.419  0.826  0.826
O  0.425  0.425  0.831
O  0.425  0.831  0.425
O  0.575  0.169  0.575
O  0.575  0.575  0.169
O  0.581  0.174  0.174
O  0.826  0.419  0.826
O  0.826  0.826  0.419
O  0.831  0.425  0.425

Summary:
The space group is No. 166. As for the energy relative to the elements, uncorrected: -44.51 eV per formula unit. As for the calculated density: 4.39 Mg/m³.

***

BaNb3Tl4O12 | PBE-GGA | relaxed

Cell lengths 7.462, 7.462, 7.462 Å; angles 109.47, 109.47, 109.47 degrees
Atoms (fractional coordinates):
Ba  0.000  0.000  0.000
Nb  0.000  0.500  0.500
Nb  0.500  0.000  0.500
Nb  0.500  0.500  0.000
Tl  0.000  0.000  0.500
Tl  0.000  0.500  0.000
Tl  0.500  0.000  0.000
Tl  0.500  0.500  0.500
O  0.000  0.281  0.281
O  0.000  0.719  0.719
O  0.250  0.500  0.750
O  0.250  0.750  0.500
O  0.281  0.000  0.281
O  0.281  0.281  0.000
O  0.500  0.250  0.750
O  0.500  0.750  0.250
O  0.719  0.000  0.719
O  0.719  0.719  0.000
O  0.750  0.250  0.500
O  0.750  0.500  0.250

Summary:
The space group is No. 229. As for the energy relative to the elements, uncorrected: -32.08 eV per formula unit. As for the calculated density: 7.40 Mg/m³.

***

Ba3Nb2TlO8 | PBE-GGA | relaxed

Cell lengths 6.047, 6.047, 9.531 Å; angles 90.00, 90.00, 120.00 degrees
Atoms (fractional coordinates):
Ba  0.000  0.000  0.000
Ba  0.333  0.667  0.708
Ba  0.667  0.333  0.292
Nb  0.333  0.667  0.166
Nb  0.667  0.333  0.834
Tl  0.000  0.000  0.500
O  0.166  0.333  0.234
O  0.166  0.834  0.234
O  0.333  0.166  0.766
O  0.333  0.667  0.967
O  0.667  0.333  0.033
O  0.667  0.834  0.234
O  0.834  0.166  0.766
O  0.834  0.667  0.766

Summary:
The space group is No. 164. As for the energy relative to the elements, uncorrected: -33.97 eV per formula unit. As for the calculated density: 5.12 Mg/m³.

***

BaTmNb2O8 | PBE-GGA | relaxed

Cell lengths 5.597, 5.597, 6.989 Å; angles 90.00, 90.00, 120.00 degrees
Atoms (fractional coordinates):
Ba  0.000  0.000  0.000
Tm  0.000  0.000  0.500
Nb  0.333  0.667  0.400
Nb  0.667  0.333  0.600
O  0.037  0.364  0.636
O  0.327  0.963  0.636
O  0.333  0.667  0.133
O  0.364  0.327  0.364
O  0.636  0.673  0.636
O  0.667  0.333  0.867
O  0.673  0.037  0.364
O  0.963  0.636  0.364

Summary:
The space group is No. 147. As for the energy relative to the elements, uncorrected: -29.62 eV per formula unit. As for the calculated density: 5.43 Mg/m³.

***

- The highest energy relative to the elements, uncorrected belongs to which entry?
  BaTiNbO6

***

- Which value of energy relative to the elements, uncorrected does entry 12 give?
  -29.62 eV per formula unit

***

Please write out number 8 again, unchanged.
Ba3TiNb2O9 | PBE-GGA | relaxed

Cell lengths 5.820, 5.820, 7.130 Å; angles 90.00, 90.00, 120.00 degrees
Atoms (fractional coordinates):
Ba  0.000  0.000  0.000
Ba  0.333  0.667  0.664
Ba  0.667  0.333  0.336
Ti  0.000  0.000  0.500
Nb  0.333  0.667  0.172
Nb  0.667  0.333  0.828
O  0.000  0.500  0.000
O  0.165  0.331  0.335
O  0.165  0.835  0.335
O  0.331  0.165  0.665
O  0.500  0.000  0.000
O  0.500  0.500  0.000
O  0.669  0.835  0.335
O  0.835  0.165  0.665
O  0.835  0.669  0.665

Summary:
The space group is No. 164. As for the energy relative to the elements, uncorrected: -43.14 eV per formula unit. As for the calculated density: 6.27 Mg/m³.

***

- Among the records above, which one has the highest calculated density?
  BaNb3Tl4O12